# 1
A geometry-optimized CaPrCdIn structure, computed with PBE-GGA.

Properties
Magnetization (μB per cell): 0.00
VASP energy (eV/atom): -3.056
Energy of formation (eV per atom): -0.447

Cell: 7.7427 7.7427 7.7427 Å, 90.00 90.00 90.00°
Space group F-43m (No. 216)
Asymmetric unit:
Ca (0.0000, 0.0000, 0.0000)
Pr (0.0000, 0.0000, 0.5000)
Cd (0.2500, 0.2500, 0.2500)
In (0.2500, 0.2500, 0.7500)

# 2
A geometry-optimized RbInAgSe2 structure, computed with PBE-GGA.

Properties
Magnetization (μB per cell): 0.00
VASP energy (eV/atom): -3.221

Cell: 6.8955 14.5786 6.2982 Å, 90.00 90.00 90.00°
Space group Cmme (No. 67)
Asymmetric unit:
Rb (0.0000, 0.2500, 0.2354)
In (0.2500, 0.0000, 0.5000)
Ag (0.0000, 0.0000, 0.0000)
Se (0.0000, 0.1268, 0.7296)